# LaTb7Nd5 GGA-PBE relaxed
data_LaTb7Nd5
_chemical_formula_sum 'La2 Tb14 Nd10'
_symmetry_space_group_name_H-M 'I m m 2'
_symmetry_Int_Tables_number 44
_cell_length_a 6.8090
_cell_length_b 11.3004
_cell_length_c 11.7461
_cell_angle_alpha 90.00
_cell_angle_beta 90.00
_cell_angle_gamma 90.00
loop_
_symmetry_equiv_pos_as_xyz
'x,y,z'
'-x,-y,z'
'-x,y,z'
'x,-y,z'
'x+1/2,y+1/2,z+1/2'
'-x+1/2,-y+1/2,z+1/2'
'-x+1/2,y+1/2,z+1/2'
'x+1/2,-y+1/2,z+1/2'
loop_
_atom_site_label
_atom_site_fract_x
_atom_site_fract_y
_atom_site_fract_z
La1 0.0000 0.0000 0.0000
Tb1 0.0000 0.0000 0.2984
Tb2 0.0000 0.0000 0.6020
Tb3 0.0000 0.3282 0.5501
Tb4 0.0000 0.3355 0.0482
Tb5 0.0000 0.5000 0.8023
Nd1 0.0000 0.5000 0.3095
Nd2 0.2316 0.2317 0.7930
# - total DFT energy (no corrections) (eV per atom) = -4.467
# - E_form (kJ/mol of atoms) = 23.0